No. 1
A plane-wave DFT calculation with PBE-GGA was carried out for crystalline HgBRu3 at its relaxed geometry.

- Distance to the lowest polymorph of the same formula: 2893 meV/atom
- Magnetic moment: 1.2870 μB/atom
- V: 125.0 Å³/f.u.
- ΔE_f: 309.49 kJ per mole of atoms

Unit cell a=4.9998 b=4.9998 c=4.9998 alpha=90.00 beta=90.00 gamma=90.00
Space group Pm-3m (No. 221)
Inequivalent atoms, fractional coordinates:
Hg1 0.0000 0.0000 0.0000 (multiplicity 1)
B1 0.5000 0.5000 0.5000 (multiplicity 1)
Ru1 0.0000 0.0000 0.5000 (multiplicity 3)

No. 2
A plane-wave DFT calculation with PBE-GGA was carried out for crystalline Hg2B2Ru at its relaxed geometry.

- Distance to the lowest polymorph of the same formula: 0 meV/atom
- Magnetic moment: 0.3048 μB/atom
- V: 73.5 Å³/f.u.
- ΔE_f: 105.89 kJ per mole of atoms

Unit cell a=2.8445 b=2.8445 c=18.1580 alpha=90.00 beta=90.00 gamma=90.00
Space group I4/mmm (No. 139)
Inequivalent atoms, fractional coordinates:
Hg1 0.0000 0.0000 0.1175 (multiplicity 4)
B1 0.0000 0.5000 0.2500 (multiplicity 4)
Ru1 0.0000 0.0000 0.5000 (multiplicity 2)

No. 3
A plane-wave DFT calculation with PBE-GGA was carried out for crystalline HgB2Ru at its relaxed geometry.

- Magnetic moment: 0.0000 μB/atom
- V: 63.3 Å³/f.u.
- ΔE_f: 72.15 kJ per mole of atoms

Unit cell a=5.0847 b=5.0847 c=9.7859 alpha=90.00 beta=90.00 gamma=90.00
Space group I-42d (No. 122)
Inequivalent atoms, fractional coordinates:
Hg1 0.0000 0.0000 0.0000 (multiplicity 4)
B1 0.1819 0.2500 0.6250 (multiplicity 8)
Ru1 0.0000 0.0000 0.5000 (multiplicity 4)

No. 4
A plane-wave DFT calculation with PBE-GGA was carried out for crystalline HgBRu3 at its relaxed geometry.

- Distance to the lowest polymorph of the same formula: 0 meV/atom
- Magnetic moment: 0.3037 μB/atom
- V: 71.8 Å³/f.u.
- ΔE_f: 30.36 kJ per mole of atoms

Unit cell a=4.1555 b=4.1555 c=4.1555 alpha=90.00 beta=90.00 gamma=90.00
Space group Pm-3m (No. 221)
Inequivalent atoms, fractional coordinates:
Hg1 0.0000 0.0000 0.0000 (multiplicity 1)
B1 0.5000 0.5000 0.5000 (multiplicity 1)
Ru1 0.0000 0.5000 0.5000 (multiplicity 3)